# GGA-PBE Tb6Dy2Ga, relaxed
# E_tot = -39.8 eV for the cell shown
data_Tb6Dy2Ga
_chemical_formula_sum 'Tb6 Dy2 Ga1'
_cell_length_a 9.744
_cell_length_b 9.744
_cell_length_c 3.529
_cell_angle_alpha 90.09
_cell_angle_beta 90.09
_cell_angle_gamma 56.60
_symmetry_space_group_name_H-M 'P 1'
_symmetry_Int_Tables_number 1
loop_
_symmetry_equiv_pos_as_xyz
'x,y,z'
loop_
_atom_site_label
_atom_site_type_symbol
_atom_site_fract_x
_atom_site_fract_y
_atom_site_fract_z
_atom_site_occupancy
Tb1 Tb 0.166 0.509 0.501 1
Tb2 Tb 0.217 0.783 0.000 1
Tb3 Tb 0.491 0.834 0.499 1
Tb4 Tb 0.509 0.166 0.501 1
Tb5 Tb 0.783 0.217 0.000 1
Tb6 Tb 0.834 0.491 0.499 1
Dy1 Dy 0.178 0.178 0.999 1
Dy2 Dy 0.822 0.822 0.001 1
Ga1 Ga 0.500 0.500 0.500 1

# GGA-PBE TbDyGa4, relaxed
# E_tot = -24.7 eV for the cell shown
# offset from the most stable computed form = 78 meV/atom
data_TbDyGa4
_chemical_formula_sum 'Tb1 Dy1 Ga4'
_cell_length_a 5.514
_cell_length_b 5.514
_cell_length_c 5.514
_cell_angle_alpha 60.00
_cell_angle_beta 60.00
_cell_angle_gamma 60.00
_symmetry_space_group_name_H-M 'P 1'
_symmetry_Int_Tables_number 1
loop_
_symmetry_equiv_pos_as_xyz
'x,y,z'
loop_
_atom_site_label
_atom_site_type_symbol
_atom_site_fract_x
_atom_site_fract_y
_atom_site_fract_z
_atom_site_occupancy
Tb1 Tb 0.000 0.000 0.000 1
Dy1 Dy 0.750 0.750 0.750 1
Ga1 Ga 0.375 0.375 0.375 1
Ga2 Ga 0.375 0.375 0.875 1
Ga3 Ga 0.375 0.875 0.375 1
Ga4 Ga 0.875 0.375 0.375 1

# GGA-PBE TbDyGa2, relaxed
# E_tot = -17.8 eV for the cell shown
# offset from the most stable computed form = 0 meV/atom
data_TbDyGa2
_chemical_formula_sum 'Tb1 Dy1 Ga2'
_cell_length_a 4.372
_cell_length_b 4.051
_cell_length_c 5.883
_cell_angle_alpha 90.00
_cell_angle_beta 111.78
_cell_angle_gamma 90.00
_symmetry_space_group_name_H-M 'P 1'
_symmetry_Int_Tables_number 1
loop_
_symmetry_equiv_pos_as_xyz
'x,y,z'
loop_
_atom_site_label
_atom_site_type_symbol
_atom_site_fract_x
_atom_site_fract_y
_atom_site_fract_z
_atom_site_occupancy
Tb1 Tb 0.000 0.000 0.000 1
Dy1 Dy 0.278 0.500 0.557 1
Ga1 Ga 0.563 0.500 0.126 1
Ga2 Ga 0.715 0.000 0.433 1

# GGA-PBE TbDy3Ga, relaxed
# E_tot = -43.6 eV for the cell shown
data_TbDy3Ga
_chemical_formula_sum 'Tb2 Dy6 Ga2'
_cell_length_a 7.403
_cell_length_b 7.403
_cell_length_c 7.683
_cell_angle_alpha 120.93
_cell_angle_beta 120.93
_cell_angle_gamma 73.94
_symmetry_space_group_name_H-M 'P 1'
_symmetry_Int_Tables_number 1
loop_
_symmetry_equiv_pos_as_xyz
'x,y,z'
loop_
_atom_site_label
_atom_site_type_symbol
_atom_site_fract_x
_atom_site_fract_y
_atom_site_fract_z
_atom_site_occupancy
Tb1 Tb 0.066 0.066 0.270 1
Tb2 Tb 0.934 0.934 0.730 1
Dy1 Dy 0.028 0.412 0.755 1
Dy2 Dy 0.412 0.028 0.755 1
Dy3 Dy 0.445 0.445 0.669 1
Dy4 Dy 0.555 0.555 0.331 1
Dy5 Dy 0.588 0.972 0.245 1
Dy6 Dy 0.972 0.588 0.245 1
Ga1 Ga 0.246 0.246 0.116 1
Ga2 Ga 0.754 0.754 0.884 1

no.,formation energy (eV per atom)
1,0.02
2,-0.56
3,-0.63
4,-0.07